Entry 1:
This record from Alexandria via LeMat-Bulk describes a geometry-optimized BeTlIr structure. The functional is GGA-PBE.

Cell: 4.0928 4.0928 4.0928 Å, 60.00 60.00 60.00°
Closest atoms and distances in Å follow each position.
Element x y z (fractional)
Be  0.0000  0.0000  0.0000  4 Ir 2.51, 4 Tl 2.51
Tl  0.2500  0.2500  0.2500  4 Be 2.51
Ir  0.7500  0.7500  0.7500  4 Be 2.51

Symmetry: No. 216
Polymorph energy (0 for the lowest one): 209 meV/atom
Magnetic moment: 0.00 μB per formula unit
DFT formation energy: 293 meV per atom

Entry 2:
This record from Alexandria via LeMat-Bulk describes a geometry-optimized LiTcRu2 structure. The functional is GGA-PBE.

Cell: 3.0128 3.0128 5.7955 Å, 90.00 90.00 90.00°
Closest atoms and distances in Å follow each position.
Element x y z (fractional)
Li  0.0000  0.0000  0.0000  4 Ru 2.43, 4 Tc 2.52
Tc  0.5000  0.5000  0.7680  5 Ru 2.51-2.63, 4 Li 2.52
Ru  0.0000  0.0000  0.5032  4 Tc 2.63, 4 Ru 2.76, 2 Li 2.88-2.92
Ru  0.5000  0.5000  0.2016  4 Li 2.43, 1 Tc 2.51

Symmetry: No. 99
Polymorph energy (0 for the lowest one): 222 meV/atom
Magnetic moment: 0.00 μB per formula unit
DFT formation energy: 321 meV per atom